Entry 1:
# CaLaTiCrO6 (SCAN, PBEsol geometry)
data_CaLaTiCrO6
_space_group_name_H-M_alt 'P 1'
_space_group_IT_number 1
_cell_length_a 5.4105
_cell_length_b 5.4439
_cell_length_c 7.6574
_cell_angle_alpha 90.00
_cell_angle_beta 90.02
_cell_angle_gamma 90.00
loop_
_space_group_symop_operation_xyz
'x,y,z'
loop_
_atom_site_label
_atom_site_type_symbol
_atom_site_fract_x
_atom_site_fract_y
_atom_site_fract_z
Ca1 Ca 0.5081 0.2889 0.7494
Ca2 Ca 0.0081 0.7111 0.2494
La1 La 0.9947 0.7781 0.7505
La2 La 0.4947 0.2219 0.2505
Ti1 Ti 0.4999 0.7494 0.0010
Ti2 Ti 0.9999 0.2506 0.5010
Cr1 Cr 0.4996 0.7511 0.4995
Cr2 Cr 0.9996 0.2489 0.9995
O1 O 0.9347 0.2661 0.2502
O2 O 0.4347 0.7339 0.7502
O3 O 0.7810 0.5310 0.9656
O4 O 0.2810 0.4690 0.4656
O5 O 0.7811 0.5319 0.5351
O6 O 0.2811 0.4681 0.0351
O7 O 0.7125 0.0355 0.9602
O8 O 0.2125 0.9645 0.4602
O9 O 0.7132 0.0373 0.5388
O10 O 0.2132 0.9627 0.0388
O11 O 0.5752 0.7619 0.2497
O12 O 0.0752 0.2381 0.7497
# Electronic total energy: -15.831 eV/atom
# M_tot: 3.00 μB/f.u.
# ρ: 5.519 g cm⁻³

---

Entry 2:
# ZnCu2Hg (SCAN, PBEsol geometry)
data_ZnCu2Hg
_space_group_name_H-M_alt 'P 1'
_space_group_IT_number 1
_cell_length_a 2.9712
_cell_length_b 2.9712
_cell_length_c 6.4594
_cell_angle_alpha 90.00
_cell_angle_beta 90.00
_cell_angle_gamma 90.00
loop_
_space_group_symop_operation_xyz
'x,y,z'
loop_
_atom_site_label
_atom_site_type_symbol
_atom_site_fract_x
_atom_site_fract_y
_atom_site_fract_z
Cu1 Cu 0.0000 0.0000 0.0076
Cu2 Cu 0.5000 0.5000 0.2103
Hg1 Hg 0.0000 0.0000 0.4860
Zn1 Zn 0.5000 0.5000 0.7961
# M_tot: 0.00 μB/f.u.
# Energy of formation from the pure elements: 0.084 eV per atom
# ρ: 11.447 g cm⁻³

---

Entry 3:
# Zn2CuCl (SCAN, PBEsol geometry)
data_Zn2CuCl
_space_group_name_H-M_alt 'P 1'
_space_group_IT_number 1
_cell_length_a 2.9222
_cell_length_b 4.0433
_cell_length_c 5.4905
_cell_angle_alpha 90.00
_cell_angle_beta 90.00
_cell_angle_gamma 90.00
loop_
_space_group_symop_operation_xyz
'x,y,z'
loop_
_atom_site_label
_atom_site_type_symbol
_atom_site_fract_x
_atom_site_fract_y
_atom_site_fract_z
Zn1 Zn 0.0000 0.0000 0.0000
Zn2 Zn 0.5000 0.5000 0.0000
Cu1 Cu 0.0000 0.5000 0.5000
Cl1 Cl 0.5000 0.0000 0.5000
# M_tot: 0.00 μB/f.u.
# E above lowest polymorph: 0.050 eV/atom
# ρ: 5.883 g cm⁻³

---

Entry 4:
# BaTeHN2 (SCAN, PBEsol geometry)
data_BaTeHN2
_space_group_name_H-M_alt 'P 1'
_space_group_IT_number 1
_cell_length_a 3.6391
_cell_length_b 4.6377
_cell_length_c 4.6377
_cell_angle_alpha 90.00
_cell_angle_beta 90.00
_cell_angle_gamma 90.00
loop_
_space_group_symop_operation_xyz
'x,y,z'
loop_
_atom_site_label
_atom_site_type_symbol
_atom_site_fract_x
_atom_site_fract_y
_atom_site_fract_z
H1 H 0.0000 0.0000 0.0000
Te1 Te 0.5000 0.0000 0.0000
Ba1 Ba 0.5000 0.5000 0.5000
N1 N 0.0000 0.0000 0.5000
N2 N 0.0000 0.5000 0.0000
# Electronic total energy: -18.706 eV/atom
# M_tot: 1.91 μB/f.u.
# ρ: 6.236 g cm⁻³

---

Entry 5:
# Mg2TlH2 (SCAN, PBEsol geometry)
data_Mg2TlH2
_space_group_name_H-M_alt 'P 1'
_space_group_IT_number 1
_cell_length_a 3.3142
_cell_length_b 3.3142
_cell_length_c 6.9682
_cell_angle_alpha 103.76
_cell_angle_beta 103.76
_cell_angle_gamma 90.00
loop_
_space_group_symop_operation_xyz
'x,y,z'
loop_
_atom_site_label
_atom_site_type_symbol
_atom_site_fract_x
_atom_site_fract_y
_atom_site_fract_z
H1 H 0.2500 0.7500 0.5000
H2 H 0.7500 0.2500 0.5000
Tl1 Tl 0.0000 0.0000 0.0000
Mg1 Mg 0.3380 0.3380 0.6759
Mg2 Mg 0.6620 0.6620 0.3241
# Electronic total energy: -18.002 eV/atom
# M_tot: 0.00 μB/f.u.
# ρ: 5.875 g cm⁻³

---

Entry 6:
# Sr3CaSn16 (SCAN, PBEsol geometry)
data_Sr3CaSn16
_space_group_name_H-M_alt 'P 1'
_space_group_IT_number 1
_cell_length_a 4.6513
_cell_length_b 11.2464
_cell_length_c 11.2464
_cell_angle_alpha 76.08
_cell_angle_beta 78.07
_cell_angle_gamma 78.07
loop_
_space_group_symop_operation_xyz
'x,y,z'
loop_
_atom_site_label
_atom_site_type_symbol
_atom_site_fract_x
_atom_site_fract_y
_atom_site_fract_z
Sr1 Sr 0.3882 0.1118 0.1118
Sr2 Sr 0.6103 0.1394 0.6400
Sr3 Sr 0.6103 0.6400 0.1394
Ca1 Ca 0.3885 0.6115 0.6115
Sn1 Sn 0.5914 0.9086 0.9086
Sn2 Sn 0.5898 0.4102 0.4102
Sn3 Sn 0.4086 0.8381 0.3446
Sn4 Sn 0.4086 0.3446 0.8381
Sn5 Sn 0.1969 0.9078 0.6983
Sn6 Sn 0.1961 0.4092 0.1986
Sn7 Sn 0.8063 0.8333 0.5541
Sn8 Sn 0.8055 0.3434 0.0456
Sn9 Sn 0.1969 0.6983 0.9078
Sn10 Sn 0.1961 0.1986 0.4092
Sn11 Sn 0.8055 0.0456 0.3434
Sn12 Sn 0.8063 0.5541 0.8333
Sn13 Sn 0.9977 0.6226 0.3820
Sn14 Sn 0.9996 0.1240 0.8768
Sn15 Sn 0.9996 0.8768 0.1240
Sn16 Sn 0.9977 0.3820 0.6226
# M_tot: 0.00 μB/f.u.
# Energy of formation from the pure elements: -0.334 eV per atom
# ρ: 6.637 g cm⁻³

---

Entry 7:
# LiNiP2O7 (SCAN, PBEsol geometry)
data_LiNiP2O7
_space_group_name_H-M_alt 'P 1'
_space_group_IT_number 1
_cell_length_a 6.1695
_cell_length_b 9.1062
_cell_length_c 10.3215
_cell_angle_alpha 63.81
_cell_angle_beta 84.30
_cell_angle_gamma 73.28
loop_
_space_group_symop_operation_xyz
'x,y,z'
loop_
_atom_site_label
_atom_site_type_symbol
_atom_site_fract_x
_atom_site_fract_y
_atom_site_fract_z
Li1 Li 0.2185 0.0181 0.4868
Li2 Li 0.0215 0.9615 0.0339
Li3 Li 0.7598 0.9786 0.5299
Li4 Li 0.5197 0.4933 0.9939
Ni1 Ni 0.3736 0.4677 0.7641
Ni2 Ni 0.6047 0.5263 0.2489
Ni3 Ni 0.2861 0.0957 0.7806
Ni4 Ni 0.6934 0.8985 0.2372
P1 P 0.0845 0.5687 0.2989
P2 P 0.4088 0.3069 0.5284
P3 P 0.5702 0.6873 0.4868
P4 P 0.8692 0.1906 0.2155
P5 P 0.8954 0.4240 0.7164
P6 P 0.2889 0.1807 0.0588
P7 P 0.6942 0.8135 0.9572
P8 P 0.1131 0.8033 0.8002
O1 O 0.6059 0.3707 0.4441
O2 O 0.9512 0.0972 0.3700
O3 O 0.0566 0.4990 0.7547
O4 O 0.1779 0.4485 0.4629
O5 O 0.6590 0.3409 0.1824
O6 O 0.9251 0.7217 0.9061
O7 O 0.4231 0.2794 0.6903
O8 O 0.6833 0.4394 0.8059
O9 O 0.9218 0.4953 0.2602
O10 O 0.0565 0.2723 0.1083
O11 O 0.5847 0.6704 0.0493
O12 O 0.7444 0.9035 0.0392
O13 O 0.2433 0.0849 0.9804
O14 O 0.5901 0.8555 0.4746
O15 O 0.4174 0.0611 0.2039
O16 O 0.9857 0.7478 0.2908
O17 O 0.7996 0.5439 0.5524
O18 O 0.2959 0.5574 0.2089
O19 O 0.3224 0.6531 0.8296
O20 O 0.1497 0.9178 0.8670
O21 O 0.0289 0.9005 0.6461
O22 O 0.3965 0.3231 0.9635
O23 O 0.3712 0.6250 0.5697
O24 O 0.9963 0.2470 0.7217
O25 O 0.5647 0.9358 0.8129
O26 O 0.5554 0.7161 0.3247
O27 O 0.8366 0.0722 0.1518
O28 O 0.3925 0.1376 0.5415
# M_tot: 1.00 μB/f.u.
# E above lowest polymorph: 0.010 eV/atom
# ρ: 3.195 g cm⁻³

---

Entry 8:
# K3HfNb (SCAN, PBEsol geometry)
data_K3HfNb
_space_group_name_H-M_alt 'P 1'
_space_group_IT_number 1
_cell_length_a 6.4157
_cell_length_b 6.4157
_cell_length_c 6.4157
_cell_angle_alpha 90.00
_cell_angle_beta 90.00
_cell_angle_gamma 90.00
loop_
_space_group_symop_operation_xyz
'x,y,z'
loop_
_atom_site_label
_atom_site_type_symbol
_atom_site_fract_x
_atom_site_fract_y
_atom_site_fract_z
Nb1 Nb 0.0000 0.0000 0.0000
Hf1 Hf 0.5000 0.5000 0.5000
K1 K 0.0000 0.5000 0.0000
K2 K 0.0000 0.0000 0.5000
K3 K 0.5000 0.0000 0.0000
# M_tot: 8.66 μB/f.u.
# Energy of formation from the pure elements: 2.033 eV per atom
# ρ: 2.444 g cm⁻³